{
  "formula": "InHgRh2",
  "functional": "GGA-PBE",
  "state": "optimized geometry",
  "lattice": [[4.071, 0.000, 0.000], [0.000, 4.071, 0.000], [0.000, 0.000, 18.786]],
  "species": ["In", "In", "In", "In", "Hg", "Hg", "Hg", "Hg", "Rh", "Rh", "Rh", "Rh", "Rh", "Rh", "Rh", "Rh"],
  "fractional_positions": [[0.000, 0.000, 0.000], [0.000, 0.500, 0.250], [0.500, 0.000, 0.750], [0.500, 0.500, 0.500], [0.000, 0.000, 0.500], [0.000, 0.500, 0.750], [0.500, 0.000, 0.250], [0.500, 0.500, 0.000], [0.229, 0.250, 0.625], [0.250, 0.729, 0.875], [0.250, 0.771, 0.375], [0.271, 0.250, 0.125], [0.729, 0.750, 0.125], [0.750, 0.229, 0.375], [0.750, 0.271, 0.875], [0.771, 0.750, 0.625]],
  "n_ef_per_ev_cell": 24.95,
  "ef_ev_per_fu": 1.42,
  "magnetic_moment_mub_per_fu": 0.00
}